Record 1
Compound: AlIn2Pb
Source: Alexandria
Functional: PBE-GGA
Structure: optimized geometry

Computed properties:
energy relative to the elements = 15 kJ per mole of atoms
excess energy over the best structure of this formula in the dataset = 0.061 eV per atom
space-group type = Pmmm
calculated density = 7.320 g/cm³

POSCAR file:
```
AlIn2Pb
1.0
4.229 0.000 0.000
0.000 4.903 0.000
0.000 0.000 5.075
Al In Pb
1 2 1
Cartesian
0.000 0.000 0.000
0.000 2.451 2.538
2.114 0.000 2.538
2.114 2.451 0.000
```

=====

Record 2
Compound: AlIn2Pb
Source: Alexandria
Functional: PBE-GGA
Structure: optimized geometry

Computed properties:
energy relative to the elements = 16 kJ per mole of atoms
excess energy over the best structure of this formula in the dataset = 0.075 eV per atom
space-group type = R3m
calculated density = 6.850 g/cm³

POSCAR file:
```
AlIn2Pb
1.0
2.286 1.320 6.209
-2.286 1.320 6.209
0.000 -2.640 6.209
Al In Pb
1 2 1
Cartesian
0.000 0.000 0.000
0.000 0.000 7.439
0.000 0.000 11.189
0.000 0.000 3.101
```

=====

Record 3
Compound: Al2InPb
Source: Alexandria
Functional: PBE-GGA
Structure: optimized geometry

Computed properties:
energy relative to the elements = 20 kJ per mole of atoms
excess energy over the best structure of this formula in the dataset = 0.058 eV per atom
space-group type = Pm
calculated density = 6.530 g/cm³

POSCAR file:
```
Al2InPb
1.0
3.467 0.000 0.000
0.000 4.805 0.000
-1.538 0.000 5.740
Al In Pb
2 1 1
Cartesian
0.000 0.000 0.000
0.013 2.402 1.513
1.781 0.000 2.607
0.169 2.402 4.583
```

=====

Record 4
Compound: Al2InPb
Source: Alexandria
Functional: PBE-GGA
Structure: optimized geometry

Computed properties:
energy relative to the elements = 14 kJ per mole of atoms
excess energy over the best structure of this formula in the dataset = 0.000 eV per atom
space-group type = Cmm2
calculated density = 6.662 g/cm³

POSCAR file:
```
Al2InPb
1.0
2.353 -2.373 0.000
2.353 2.373 0.000
0.000 0.000 8.393
Al In Pb
2 1 1
Cartesian
0.000 0.000 0.000
2.353 0.000 1.517
2.353 0.000 6.356
0.000 0.000 3.726
```

=====

Record 5
Compound: AlIn2Pb2
Source: Alexandria
Functional: PBE-GGA
Structure: optimized geometry

Computed properties:
energy relative to the elements = 23 kJ per mole of atoms
excess energy over the best structure of this formula in the dataset = 0.069 eV per atom
space-group type = P4/mbm
calculated density = 7.439 g/cm³

POSCAR file:
```
AlIn2Pb2
1.0
7.715 0.000 0.000
0.000 7.715 0.000
0.000 0.000 5.033
Al In Pb
2 4 4
Cartesian
0.000 0.000 0.000
3.858 3.858 0.000
1.236 2.621 2.516
2.621 6.479 2.516
5.094 1.236 2.516
6.479 5.094 2.516
1.152 5.010 0.000
2.706 1.152 0.000
5.010 6.563 0.000
6.563 2.706 0.000
```

=====

Record 6
Compound: Al2InPb
Source: Alexandria
Functional: PBE-GGA
Structure: optimized geometry

Computed properties:
energy relative to the elements = 29 kJ per mole of atoms
excess energy over the best structure of this formula in the dataset = 0.161 eV per atom
space-group type = I-42d
calculated density = 6.312 g/cm³

POSCAR file:
```
Al2InPb
1.0
-4.005 4.005 3.083
4.005 -4.005 3.083
4.005 4.005 -3.083
Al In Pb
4 2 2
Cartesian
6.008 1.956 -0.771
1.956 2.003 0.771
-2.003 2.049 2.312
2.049 2.003 3.854
0.000 0.000 0.000
0.000 4.005 1.541
4.005 0.000 1.541
0.000 0.000 3.083
```

=====

Record 7
Compound: AlIn2Pb
Source: Alexandria
Functional: PBE-GGA
Structure: optimized geometry

Computed properties:
energy relative to the elements = 9 kJ per mole of atoms
excess energy over the best structure of this formula in the dataset = 0.000 eV per atom
space-group type = R-3m
calculated density = 7.358 g/cm³

POSCAR file:
```
AlIn2Pb
1.0
1.649 0.952 11.112
-1.649 0.952 11.112
0.000 -1.904 11.112
Al In Pb
1 2 1
Cartesian
0.000 0.000 0.000
0.000 0.000 8.668
0.000 0.000 24.667
0.000 0.000 16.668
```

=====

Record 8
Compound: Al2InPb
Source: Alexandria
Functional: PBE-GGA
Structure: optimized geometry

Computed properties:
energy relative to the elements = 27 kJ per mole of atoms
excess energy over the best structure of this formula in the dataset = 0.132 eV per atom
space-group type = Cmmm
calculated density = 6.447 g/cm³

POSCAR file:
```
Al2InPb
1.0
1.811 -2.677 0.000
1.811 2.677 0.000
0.000 0.000 9.984
Al In Pb
2 1 1
Cartesian
0.000 0.000 2.414
0.000 0.000 7.570
1.811 0.000 0.000
1.811 0.000 4.992
```